Entry from Alexandria: a relaxed SrGeO4 crystal (GGA-PBE).

Results
- calculated total energy (eV for the cell shown) = -70.78
- formation energy without anion corrections (meV/atom) = -1542.8

abc: 6.137 6.137 6.137
angles: 108.75 108.75 110.91
Positions (direct):
O 0.740 0.669 0.738
O 0.919 0.490 0.238
O 0.331 0.069 0.071
O 0.252 0.681 0.762
O 0.510 0.748 0.429
O 0.931 0.002 0.262
O 0.998 0.260 0.929
O 0.319 0.081 0.571
Sr 0.500 0.500 0.000
Sr 0.750 0.250 0.500
Ge 0.250 0.750 0.500
Ge 0.000 0.000 0.000

Entry from Alexandria: a relaxed In3HgO6 crystal (GGA-PBE).

Results
- calculated total energy (eV for the cell shown) = -98.16
- formation energy without anion corrections (meV/atom) = -1081.5

abc: 5.570 7.021 7.021
angles: 103.38 90.00 90.00
Positions (direct):
O 0.709 0.568 0.108
O 0.209 0.432 0.892
O 0.670 0.314 0.358
O 0.170 0.358 0.314
O 0.670 0.642 0.686
O 0.209 0.108 0.568
O 0.801 0.964 0.036
O 0.125 0.785 0.215
O 0.301 0.036 0.964
O 0.170 0.686 0.642
O 0.625 0.215 0.785
O 0.709 0.892 0.432
In 0.458 0.334 0.093
In 0.958 0.666 0.907
In 0.906 0.603 0.397
In 0.458 0.907 0.666
In 0.958 0.093 0.334
In 0.406 0.397 0.603
Hg 0.979 0.149 0.851
Hg 0.479 0.851 0.149

Entry from Alexandria: a relaxed NdHoMgIn crystal (GGA-PBE).

Results
- formation energy (kJ/mol of atoms) = -31
- calculated total energy (eV for the cell shown) = -14.97

abc: 5.384 5.384 5.384
angles: 60.00 60.00 60.00
Positions (direct):
Mg 0.250 0.250 0.250
Nd 0.000 0.000 0.000
Ho 0.500 0.500 0.500
In 0.750 0.750 0.750

Entry from Alexandria: a relaxed GaSiTe3 crystal (GGA-PBE).

Results
- calculated total energy (eV for the cell shown) = -36.80
- formation energy without anion corrections (meV/atom) = -105.5

abc: 3.953 8.156 11.140
angles: 98.75 90.00 104.03
Positions (direct):
Ga 0.429 0.858 0.036
Ga 0.571 0.142 0.964
Te 0.930 0.861 0.220
Te 0.361 0.722 0.573
Te 0.827 0.653 0.895
Te 0.173 0.347 0.105
Te 0.639 0.278 0.427
Te 0.070 0.139 0.780
Si 0.092 0.184 0.285
Si 0.908 0.816 0.715

Entry from Alexandria: a relaxed Sc2MnCl crystal (GGA-PBE).

Results
- calculated total energy (eV for the cell shown) = -23.86
- formation energy without anion corrections (meV/atom) = -45.2
- excess energy over the best structure of this formula in the dataset (eV/atom) = 0.548

abc: 6.110 6.110 6.110
angles: 144.22 144.22 51.49
Positions (direct):
Sc 0.000 0.000 0.000
Sc 0.250 0.750 0.500
Mn 0.750 0.250 0.500
Cl 0.500 0.500 0.000

Entry from Alexandria: a relaxed Nd3ErCd2 crystal (GGA-PBE).

Results
- formation energy (kJ/mol of atoms) = -18
- calculated total energy (eV for the cell shown) = -21.83
- excess energy over the best structure of this formula in the dataset (eV/atom) = 0.000

abc: 3.778 3.778 12.719
angles: 90.00 90.00 90.00
Positions (direct):
Nd 0.000 0.000 0.689
Nd 0.000 0.000 0.000
Nd 0.000 0.000 0.311
Er 0.500 0.500 0.500
Cd 0.500 0.500 0.157
Cd 0.500 0.500 0.843

Entry from Alexandria: a relaxed Pa3Se2N crystal (GGA-PBE).

Results
- calculated total energy (eV for the cell shown) = -51.23
- formation energy without anion corrections (meV/atom) = -1241.2

abc: 3.586 5.560 7.073
angles: 113.14 104.68 90.00
Positions (direct):
N 0.000 0.500 0.000
Se 0.318 0.818 0.636
Se 0.682 0.182 0.364
Pa 0.000 0.000 0.000
Pa 0.631 0.631 0.263
Pa 0.369 0.369 0.737

Entry from Alexandria: a relaxed TaReF2 crystal (GGA-PBE).

Results
- calculated total energy (eV for the cell shown) = -51.89
- formation energy without anion corrections (meV/atom) = 524.4
- excess energy over the best structure of this formula in the dataset (eV/atom) = 1.316

abc: 4.991 4.991 5.870
angles: 64.84 64.84 90.00
Positions (direct):
F 0.130 0.625 0.250
F 0.375 0.380 0.750
F 0.620 0.125 0.250
F 0.875 0.870 0.750
Re 0.000 0.000 0.000
Re 0.750 0.250 0.500
Ta 0.250 0.750 0.500
Ta 0.500 0.500 0.000

The lowest calculated total energy belongs to which entry? In3HgO6